A plane-wave DFT calculation with PBE was carried out for LiTl2NiPt after structural relaxation.

Symmetry: P4/mmm, No. 123

Cell: 4.930 4.364 4.930 Å, 90.00 90.00 90.00°
Positions (direct):
Ni: 0.000 0.000 0.000
Tl: 0.000 0.000 0.500
Tl: 0.500 0.000 0.000
Pt: 0.500 0.500 0.500
Li: 0.000 0.500 0.000


A plane-wave DFT calculation with PBE was carried out for La2NdTl2 after structural relaxation.

Symmetry: P2_1/m, No. 11

Cell: 3.921 5.602 14.810 Å, 90.00 97.61 90.00°
Positions (direct):
La: 0.762 0.250 0.526
Tl: 0.449 0.750 0.899
Nd: 0.855 0.750 0.706
La: 0.951 0.250 0.904
Tl: 0.551 0.250 0.101
La: 0.049 0.750 0.096
Tl: 0.356 0.250 0.711
Nd: 0.145 0.250 0.294
Tl: 0.644 0.750 0.289
La: 0.238 0.750 0.474


Formation energy for every record listed, in sequence, given in eV/atom: 0.330; -0.319.